TaAsOs2: optimized geometry, PBEsol.

Electronic total energy, eV/atom: -10.329
Energy of formation, eV/atom: 0.19
Symmetry: P4/mmm
DOS(E_F), states/eV/atom: 0.5565

a b c (Å): 4.1945 4.1945 3.4409
angles (deg): 90.00 90.00 90.00
Last column: nearest neighbours and their distance in Å.
Fractional positions:
Ta 0.0000 0.0000 0.0000  8 Os 2.71, 4 As 2.97
As 0.5000 0.5000 0.0000  8 Os 2.71, 4 Ta 2.97
Os 0.0000 0.5000 0.5000  4 Ta 2.71, 4 As 2.71, 4 Os 2.97
Os 0.5000 0.0000 0.5000  4 Ta 2.71, 4 As 2.71, 4 Os 2.97

BaTaIn2: optimized geometry, PBEsol.

Energy above the lowest structure with this stoichiometry, eV/atom: 0.1336
Electronic total energy, eV/atom: -4.740
Energy of formation, eV/atom: 0.43
Symmetry: Cmmm
DOS(E_F), states/eV/atom: 0.8276

a b c (Å): 5.7103 5.7103 3.1111
angles (deg): 90.00 90.00 103.93
Last column: nearest neighbours and their distance in Å.
Fractional positions:
Ba 0.0000 0.0000 0.0000  2 Ba 3.11, 8 In 3.25
Ta 0.5000 0.5000 0.0000  2 Ta 3.11, 8 In 3.25
In 0.0000 0.5000 0.5000  2 In 3.11, 4 Ta 3.25, 4 Ba 3.25
In 0.5000 0.0000 0.5000  2 In 3.11, 4 Ba 3.25, 4 Ta 3.25

LiTi2Pt2: optimized geometry, PBEsol.

Electronic total energy, eV/atom: -7.215
Energy of formation, eV/atom: -0.71
Symmetry: P4/mbm
DOS(E_F), states/eV/atom: 0.7662

a b c (Å): 7.5843 7.5843 2.8167
angles (deg): 90.00 90.00 90.00
Last column: nearest neighbours and their distance in Å.
Fractional positions:
Li 0.0000 0.0000 0.0000  2 Li 2.82, 4 Pt 2.94
Li 0.5000 0.5000 0.0000  2 Li 2.82, 4 Pt 2.94
Ti 0.1587 0.3413 0.5000  6 Pt 2.60-2.66, 2 Ti 2.82
Ti 0.3413 0.8413 0.5000  6 Pt 2.60-2.66, 2 Ti 2.82
Ti 0.6587 0.1587 0.5000  6 Pt 2.60-2.66, 2 Ti 2.82
Ti 0.8413 0.6587 0.5000  6 Pt 2.60-2.66, 2 Ti 2.82
Pt 0.1377 0.6377 0.0000  6 Ti 2.60-2.66, 2 Pt 2.82
Pt 0.3623 0.1377 0.0000  6 Ti 2.60-2.66, 2 Pt 2.82
Pt 0.6377 0.8623 0.0000  6 Ti 2.60-2.66, 2 Pt 2.82
Pt 0.8623 0.3623 0.0000  6 Ti 2.60-2.66, 2 Pt 2.82

Na3SnB: optimized geometry, PBEsol.

Electronic total energy, eV/atom: -2.314
Energy of formation, eV/atom: 0.78
Symmetry: Pm-3m
DOS(E_F), states/eV/atom: 0.5773

a b c (Å): 5.0413 5.0413 5.0413
angles (deg): 90.00 90.00 90.00
Last column: nearest neighbours and their distance in Å.
Fractional positions:
Na 0.0000 0.0000 0.5000  2 B 2.52
Na 0.0000 0.5000 0.0000  2 B 2.52
Na 0.5000 0.0000 0.0000  2 B 2.52
Sn 0.5000 0.5000 0.5000  12 Na 3.56
B 0.0000 0.0000 0.0000  6 Na 2.52

Li2ScHg: optimized geometry, PBEsol.

Electronic total energy, eV/atom: -3.022
Energy of formation, eV/atom: -0.25
Symmetry: Imm2
DOS(E_F), states/eV/atom: 0.8364

a b c (Å): 4.8385 4.8385 4.8385
angles (deg): 125.47 124.53 81.54
Last column: nearest neighbours and their distance in Å.
Fractional positions:
Li 0.0000 0.0000 0.0000  4 Li 2.86-2.92, 4 Sc 2.89, 4 Hg 3.16
Li 0.7533 0.2533 0.5000  4 Li 2.86-2.92, 4 Hg 2.87-2.91, 4 Sc 3.16
Sc 0.2524 0.7524 0.5000  4 Hg 2.89, 8 Li 2.89-3.16
Hg 0.5043 0.5043 0.0000  8 Li 2.87-3.16, 4 Sc 2.89

BaCoRu2: optimized geometry, PBEsol.

Energy above the lowest structure with this stoichiometry, eV/atom: 0.5558
Electronic total energy, eV/atom: -6.328
Energy of formation, eV/atom: 1.23
Symmetry: Pmmm
DOS(E_F), states/eV/atom: 1.6821

a b c (Å): 2.9958 4.7879 4.7988
angles (deg): 90.00 90.00 90.00
Last column: nearest neighbours and their distance in Å.
Fractional positions:
Ba 0.0000 0.0000 0.0000  4 Co 2.82, 4 Ru 2.83, 2 Ba 3.00
Co 0.5000 0.5000 0.0000  4 Ba 2.82, 4 Ru 2.83, 2 Co 3.00
Ru 0.0000 0.5000 0.5000  6 Ru 2.82-3.00, 4 Co 2.83
Ru 0.5000 0.0000 0.5000  6 Ru 2.82-3.00, 4 Ba 2.83

POs2W: optimized geometry, PBEsol.

Electronic total energy, eV/atom: -11.122
Energy of formation, eV/atom: -0.11
Symmetry: P4/mmm
DOS(E_F), states/eV/atom: 0.4323

a b c (Å): 2.8372 2.8372 6.7482
angles (deg): 90.00 90.00 90.00
Last column: nearest neighbours and their distance in Å.
Fractional positions:
P 0.0000 0.0000 0.0000  8 Os 2.48
Os 0.5000 0.5000 0.2155  4 P 2.48
Os 0.5000 0.5000 0.7845  4 P 2.48
W 0.0000 0.0000 0.5000  8 Os 2.78, 4 W 2.84

CdOs: optimized geometry, PBEsol.

Electronic total energy, eV/atom: -5.939
Energy of formation, eV/atom: 0.77
Symmetry: Fd-3m
DOS(E_F), states/eV/atom: 0.7988

a b c (Å): 4.5047 4.5047 4.5047
angles (deg): 60.00 60.00 60.00
Last column: nearest neighbours and their distance in Å.
Fractional positions:
Cd 0.1250 0.1250 0.1250  4 Cd 2.76, 4 Os 2.76
Cd 0.8750 0.8750 0.8750  4 Os 2.76, 4 Cd 2.76
Os 0.3750 0.3750 0.3750  4 Cd 2.76, 4 Os 2.76
Os 0.6250 0.6250 0.6250  4 Cd 2.76, 4 Os 2.76

LiMg2Pb: optimized geometry, PBEsol.

Electronic total energy, eV/atom: -2.454
Energy of formation, eV/atom: -0.10
Symmetry: P1
DOS(E_F), states/eV/atom: 0.4081

a b c (Å): 3.2927 5.2855 5.5390
angles (deg): 99.17 90.51 107.25
Last column: nearest neighbours and their distance in Å.
Fractional positions:
Li 0.0000 0.0000 0.0000  7 Mg 3.05-3.26, 3 Pb 3.06-3.10, 2 Li 3.29
Mg 0.2459 0.4948 0.7513  3 Li 3.05-3.17, 5 Mg 3.06-3.29, 4 Pb 3.14-3.31
Mg 0.5010 0.9929 0.5048  5 Mg 3.06-3.29, 3 Pb 3.14-3.19, 4 Li 3.17-3.26
Pb 0.7478 0.4919 0.2354  3 Li 3.06-3.10, 7 Mg 3.14-3.31, 2 Pb 3.29

RbLi2Sb2: optimized geometry, PBEsol.

Energy above the lowest structure with this stoichiometry, eV/atom: 0.0000
Electronic total energy, eV/atom: -3.272
Raw formation energy, eV/atom: -0.457
Symmetry: I4/mmm
DOS(E_F), states/eV/atom: 0.4664

a b c (Å): 6.6281 6.6281 6.6281
angles (deg): 136.36 136.36 63.42
Last column: nearest neighbours and their distance in Å.
Fractional positions:
Rb 0.0000 0.0000 0.0000  8 Li 3.74, 8 Sb 3.75
Li 0.2500 0.7500 0.5000  4 Sb 2.85
Li 0.7500 0.2500 0.5000  4 Sb 2.85
Sb 0.3764 0.3764 0.0000  1 Sb 2.79, 4 Li 2.85
Sb 0.6236 0.6236 0.0000  1 Sb 2.79, 4 Li 2.85

Tl2CdPt: optimized geometry, PBEsol.

Energy above the lowest structure with this stoichiometry, eV/atom: 0.0000
Electronic total energy, eV/atom: -3.401
Energy of formation, eV/atom: -0.05
Symmetry: Immm
DOS(E_F), states/eV/atom: 0.4195

a b c (Å): 7.3849 7.3849 7.3849
angles (deg): 156.51 143.40 43.95
Last column: nearest neighbours and their distance in Å.
Fractional positions:
Tl 0.1819 0.1819 0.0000  2 Pt 2.91, 2 Tl 3.01
Tl 0.8181 0.8181 0.0000  2 Pt 2.91, 2 Tl 3.01
Cd 0.5000 0.0000 0.5000  4 Pt 2.76, 2 Cd 3.01
Pt 0.0000 0.5000 0.5000  4 Cd 2.76, 4 Tl 2.91, 2 Pt 3.01

YZr2TePb: optimized geometry, PBEsol.

Electronic total energy, eV/atom: -5.817
Raw formation energy, eV/atom: 0.688
Symmetry: P4/mmm
DOS(E_F), states/eV/atom: 1.4232

a b c (Å): 5.3545 5.3545 5.6402
angles (deg): 90.00 90.00 90.00
Last column: nearest neighbours and their distance in Å.
Fractional positions:
Y 0.0000 0.0000 0.0000  2 Pb 2.82
Zr 0.0000 0.5000 0.5000  2 Pb 2.68
Zr 0.5000 0.0000 0.5000  2 Pb 2.68
Te 0.5000 0.5000 0.0000  4 Y 3.79, 8 Zr 3.89
Pb 0.0000 0.0000 0.5000  4 Zr 2.68, 2 Y 2.82

SrSc2O4: optimized geometry, PBEsol.

Energy above the lowest structure with this stoichiometry, eV/atom: 0.0557
Electronic total energy, eV/atom: -8.497
Raw formation energy, eV/atom: -3.347
Symmetry: Fd-3m
DOS(E_F), states/eV/atom: 0.0000

a b c (Å): 6.5207 6.5207 6.5207
angles (deg): 60.00 60.00 60.00
Last column: nearest neighbours and their distance in Å.
Fractional positions:
Sr 0.1250 0.1250 0.1250  4 O 2.32
Sr 0.8750 0.8750 0.8750  4 O 2.32
Sc 0.0000 0.5000 0.5000  6 O 2.14
Sc 0.5000 0.0000 0.5000  6 O 2.14
Sc 0.5000 0.5000 0.0000  6 O 2.14
Sc 0.5000 0.5000 0.5000  6 O 2.14
O 0.2700 0.2700 0.2700  3 Sc 2.14, 1 Sr 2.32
O 0.2700 0.2700 0.6900  3 Sc 2.14, 1 Sr 2.32
O 0.2700 0.6900 0.2700  3 Sc 2.14, 1 Sr 2.32
O 0.3100 0.7300 0.7300  3 Sc 2.14, 1 Sr 2.32
O 0.6900 0.2700 0.2700  3 Sc 2.14, 1 Sr 2.32
O 0.7300 0.3100 0.7300  3 Sc 2.14, 1 Sr 2.32
O 0.7300 0.7300 0.3100  3 Sc 2.14, 1 Sr 2.32
O 0.7300 0.7300 0.7300  3 Sc 2.14, 1 Sr 2.32

YCdAs2: optimized geometry, PBEsol.

Electronic total energy, eV/atom: -5.054
Energy of formation, eV/atom: -0.50
Symmetry: I4/mmm
DOS(E_F), states/eV/atom: 0.4690

a b c (Å): 5.2709 5.2709 5.2709
angles (deg): 130.34 130.34 72.86
Last column: nearest neighbours and their distance in Å.
Fractional positions:
Y 0.0000 0.0000 0.0000  8 As 3.07, 4 Cd 3.13
Cd 0.5000 0.5000 0.0000  8 As 3.07, 4 Y 3.13
As 0.2500 0.7500 0.5000  4 Cd 3.07, 4 Y 3.07, 4 As 3.13
As 0.7500 0.2500 0.5000  4 Cd 3.07, 4 Y 3.07, 4 As 3.13